# Au2Se

Crystalline Au2Se at its relaxed geometry (PBE, the Alexandria database).

The structure in CIF format:
```
data_Au2Se
_cell_length_a 13.089
_cell_length_b 13.089
_cell_length_c 13.089
_cell_angle_alpha 161.34
_cell_angle_beta 161.34
_cell_angle_gamma 26.51
_space_group_name_H-M_alt 'P 1'
_space_group_IT_number 1
loop_
_space_group_symop_operation_xyz
'x,y,z'
loop_
_atom_site_label
_atom_site_type_symbol
_atom_site_fract_x
_atom_site_fract_y
_atom_site_fract_z
Se1 Se 0.925 0.925 0.000
Au1 Au 0.665 0.165 0.500
Au2 Au 0.585 0.585 0.000
Au3 Au 0.835 0.335 0.500
Au4 Au 0.751 0.751 0.000
Au5 Au 0.499 0.999 0.500
Au6 Au 0.415 0.415 0.000
Se2 Se 0.075 0.075 0.000
Se3 Se 0.175 0.675 0.500
Se4 Se 0.325 0.825 0.500
Au7 Au 0.001 0.501 0.500
Au8 Au 0.249 0.249 0.000
```

Summary:
Fermi-level density of states = 1.10 states/eV/f.u.
space group = No. 141
magnetization = 0.00 μB/cell
V = 230 Å³ per cell

# AuSe

Crystalline AuSe at its relaxed geometry (PBE, the Alexandria database).

The structure in CIF format:
```
data_AuSe
_cell_length_a 7.297
_cell_length_b 7.297
_cell_length_c 7.297
_cell_angle_alpha 90.00
_cell_angle_beta 90.00
_cell_angle_gamma 90.00
_space_group_name_H-M_alt 'P 1'
_space_group_IT_number 1
loop_
_space_group_symop_operation_xyz
'x,y,z'
loop_
_atom_site_label
_atom_site_type_symbol
_atom_site_fract_x
_atom_site_fract_y
_atom_site_fract_z
Se1 Se 0.500 0.750 0.000
Au1 Au 0.500 0.000 0.250
Se2 Se 0.750 0.000 0.500
Au2 Au 0.000 0.250 0.500
Au3 Au 0.000 0.750 0.500
Au4 Au 0.500 0.000 0.750
Au5 Au 0.250 0.500 0.000
Au6 Au 0.750 0.500 0.000
Se3 Se 0.000 0.500 0.250
Se4 Se 0.250 0.000 0.500
Se5 Se 0.500 0.250 0.000
Se6 Se 0.000 0.500 0.750
```

Summary:
Fermi-level density of states = 1.93 states/eV/f.u.
space group = No. 223
magnetization = 0.00 μB/cell
V = 388 Å³ per cell

# AuSe

Crystalline AuSe at its relaxed geometry (PBE, the Alexandria database).

The structure in CIF format:
```
data_AuSe
_cell_length_a 6.004
_cell_length_b 6.004
_cell_length_c 7.180
_cell_angle_alpha 83.51
_cell_angle_beta 83.51
_cell_angle_gamma 38.90
_space_group_name_H-M_alt 'P 1'
_space_group_IT_number 1
loop_
_space_group_symop_operation_xyz
'x,y,z'
loop_
_atom_site_label
_atom_site_type_symbol
_atom_site_fract_x
_atom_site_fract_y
_atom_site_fract_z
Au1 Au 0.709 0.709 0.262
Se1 Se 0.923 0.923 0.515
Se2 Se 0.049 0.049 0.848
Au2 Au 0.646 0.646 0.668
Au3 Au 0.291 0.291 0.491
Se3 Se 0.215 0.215 0.049
```

Summary:
Fermi-level density of states = 0.51 states/eV/f.u.
space group = No. 8
magnetization = 0.00 μB/cell
V = 161 Å³ per cell

# AuSe2

Crystalline AuSe2 at its relaxed geometry (PBE, the Alexandria database).

The structure in CIF format:
```
data_AuSe2
_cell_length_a 10.814
_cell_length_b 10.814
_cell_length_c 10.814
_cell_angle_alpha 159.98
_cell_angle_beta 160.02
_cell_angle_gamma 28.43
_space_group_name_H-M_alt 'P 1'
_space_group_IT_number 1
loop_
_space_group_symop_operation_xyz
'x,y,z'
loop_
_atom_site_label
_atom_site_type_symbol
_atom_site_fract_x
_atom_site_fract_y
_atom_site_fract_z
Se1 Se 0.833 0.583 0.250
Se2 Se 0.044 0.294 0.750
Se3 Se 0.956 0.706 0.250
Au1 Au 0.689 0.939 0.750
Se4 Se 0.167 0.417 0.750
Au2 Au 0.311 0.061 0.250
```

Summary:
Fermi-level density of states = 1.66 states/eV/f.u.
space group = No. 74
magnetization = 0.00 μB/cell
V = 148 Å³ per cell

Taking the records one at a time from the top gives final energy values of -3.1158, -3.2375, -3.2960, -3.2075 eV per atom.